Record 1
Computed, not measured: a crystal of InPt7 relaxed with PBEsol at the SCAN level of DFT.

Geometry as extended XYZ:
```
8
Lattice="-2.0230 -4.4582 -2.6934 3.2836 -2.8925 -3.4747 1.7195 -5.1285 1.4013" Properties=species:S:1:pos:R:3 pbc="T T T"
Pt -0.1517 -4.7933 -0.6460
Pt 2.5016 -4.0105 -1.0367
Pt 0.6303 -3.6753 -3.0840
Pt 0.8597 -2.5643 0.7007
Pt -1.0115 -2.2291 -1.3467
Pt 1.6418 -1.4462 -1.7373
Pt 1.4901 -6.2396 -2.3834
In 0.0000 0.0000 0.0000
```

Output
**Crystal system**: cubic
**DFT formation energy**: -164 meV/atom

---

Record 2
Computed, not measured: a crystal of BePOs2 relaxed with PBEsol at the SCAN level of DFT.

Geometry as extended XYZ:
```
4
Lattice="2.7952 0.0000 0.0000 1.3976 2.4207 0.0000 1.3976 0.8069 7.3000" Properties=species:S:1:pos:R:3 pbc="T T T"
P 2.7952 1.6138 3.6500
Os 1.3976 0.8069 1.8756
Os 4.1928 2.4207 5.4244
Be 0.0000 0.0000 0.0000
```

Output
**Crystal system**: trigonal
**DFT formation energy**: 57 meV/atom

---

Record 3
Computed, not measured: a crystal of Al2Cu relaxed with PBEsol at the SCAN level of DFT.

Geometry as extended XYZ:
```
3
Lattice="-2.4150 1.0572 -0.8739 0.3263 -1.2759 -2.4452 -1.6095 -4.3302 3.6220" Properties=species:S:1:pos:R:3 pbc="T T T"
Cu 0.0000 0.0000 0.0000
Al -1.8582 -1.4709 -1.0577
Al -1.8399 -3.0780 1.3606
```

Output
**Crystal system**: tetragonal
**DFT formation energy**: -139 meV/atom

---

Record 4
Computed, not measured: a crystal of Tc5Mo relaxed with PBEsol at the SCAN level of DFT.

Geometry as extended XYZ:
```
6
Lattice="-0.6965 -2.5951 -0.4894 1.5390 0.3604 -4.1012 6.7432 -0.8359 2.4569" Properties=species:S:1:pos:R:3 pbc="T T T"
Tc 3.9809 -2.3049 -1.0639
Tc 6.4356 -1.7101 -0.0905
Tc 1.8112 -2.0180 0.5023
Tc 2.2033 -0.2981 -1.5546
Tc 4.2347 -1.4128 1.4649
Mo 6.0462 -3.4309 1.9673
```

Output
**Crystal system**: orthorhombic
**Energy above the lowest structure with this stoichiometry**: 0.012 eV per atom
**DFT formation energy**: 95 meV/atom

---

| no. | total DFT energy (no corrections) (eV/atom) |
| --- | --- |
| 1 | -65.7563 |
| 2 | -39.5710 |
| 3 | -10.3738 |
| 4 | -34.9355 |